No. 1
Here is a geometry-optimized LaTmIr structure from Alexandria via LeMat-Bulk. Energies are from PBE-GGA.

Output
Its relative energy among the computed polymorphs is 0.000 eV per atom. As for the crystal system: monoclinic. The space group is No. 11.

The structure in POSCAR format:
```
LaTmIr
1.0
4.7983 0.0000 0.0000
0.0000 4.7695 0.0000
-1.3941 0.0000 6.9844
La Tm Ir
2 2 2
Cartesian
0.5738 1.1924 2.7861
2.8305 3.5771 4.1983
1.2682 3.5771 0.0768
2.1360 1.1924 6.9076
-0.3615 1.1924 5.4145
3.7658 3.5771 1.5699
```


No. 2
Here is a geometry-optimized La3TmIr structure from Alexandria via LeMat-Bulk. Energies are from PBE-GGA.

Output
As for the crystal system: cubic. The space group is No. 221.

The structure in POSCAR format:
```
La3TmIr
1.0
5.6659 0.0000 0.0000
0.0000 5.6659 0.0000
0.0000 0.0000 5.6659
La Tm Ir
3 1 1
Cartesian
0.0000 0.0000 2.8329
0.0000 2.8329 0.0000
2.8329 0.0000 0.0000
2.8329 2.8329 2.8329
0.0000 0.0000 0.0000
```


No. 3
Here is a geometry-optimized LaTmIr structure from Alexandria via LeMat-Bulk. Energies are from PBE-GGA.

Output
Its relative energy among the computed polymorphs is 0.050 eV per atom. As for the crystal system: triclinic. The space group is No. 2.

The structure in POSCAR format:
```
LaTmIr
1.0
4.9012 0.0000 0.0000
0.0019 4.9044 0.0000
0.0123 0.0124 6.8542
La Tm Ir
2 2 2
Cartesian
0.0707 2.3813 1.7135
4.8447 2.5355 5.1407
2.4102 0.0646 5.1403
2.5052 4.8522 1.7139
0.0061 0.0062 3.4271
2.4516 2.4522 0.0000
```


No. 4
Here is a geometry-optimized LaTmIr structure from Alexandria via LeMat-Bulk. Energies are from PBE-GGA.

Output
Its relative energy among the computed polymorphs is 0.113 eV per atom. As for the crystal system: trigonal. The space group is No. 156.

The structure in POSCAR format:
```
LaTmIr
1.0
4.1747 0.0000 0.0000
-2.0873 3.6154 0.0000
0.0000 0.0000 6.2696
La Tm Ir
1 1 1
Cartesian
0.0000 0.0000 0.0000
2.0874 1.2051 2.8616
0.0000 2.4103 1.5285
```


No. 5
Here is a geometry-optimized La3TmIr2 structure from Alexandria via LeMat-Bulk. Energies are from PBE-GGA.

Output
As for the crystal system: orthorhombic. The space group is No. 71.

The structure in POSCAR format:
```
La3TmIr2
1.0
-2.3088 2.4289 7.2883
2.3088 -2.4289 7.2883
2.3088 2.4289 -7.2883
La Tm Ir
3 1 2
Cartesian
0.0000 0.0000 0.0000
2.3088 0.0000 4.5170
0.0000 2.4289 2.7714
0.0000 0.0000 7.2883
2.3088 0.0000 1.8513
0.0000 2.4289 5.4370
```


No. 6
Here is a geometry-optimized LaTmIr structure from Alexandria via LeMat-Bulk. Energies are from PBE-GGA.

Output
Its relative energy among the computed polymorphs is 0.046 eV per atom. As for the crystal system: monoclinic. The space group is No. 14.

The structure in POSCAR format:
```
LaTmIr
1.0
6.5352 0.0000 0.0000
0.0000 7.0783 0.0000
-6.2748 0.0000 7.8610
La Tm Ir
4 4 4
Cartesian
-1.4494 0.5832 3.0346
-4.5868 2.9560 6.9651
4.8472 4.1223 0.8959
1.7097 6.4951 4.8264
-1.3980 4.0880 4.8218
1.7394 6.5294 0.8913
-1.4790 0.5489 6.9697
1.6584 2.9903 3.0392
0.1210 5.2661 2.7918
-3.0164 5.3513 6.7223
3.2768 1.7269 1.1387
0.1394 1.8122 5.0692
```


no.,formation energy (eV/atom)
1,-0.70
2,-0.19
3,-0.65
4,-0.58
5,-0.56
6,-0.65